1.
The following is a DFT calculation (PBE) of a geometry-optimized Cr3OsI structure.

```
Cr3OsI
1.0
4.850 0.000 0.000
0.000 4.850 0.000
0.000 0.000 4.850
Cr Os I
3 1 1
direct
0.000 0.000 0.500
0.000 0.500 0.000
0.500 0.000 0.000
0.000 0.000 0.000
0.500 0.500 0.500
```

Computed properties:
* relative energy among the computed polymorphs: 0.0000 eV per atom
* SG: Pm-3m (221)

***

2.
The following is a DFT calculation (PBE) of a geometry-optimized CrOsI2 structure.

```
CrOsI2
1.0
5.761 0.000 0.000
0.000 5.761 0.000
0.000 0.000 13.677
Cr Os I
4 4 8
direct
0.000 0.000 0.000
0.000 0.500 0.250
0.500 0.000 0.750
0.500 0.500 0.500
0.000 0.000 0.500
0.000 0.500 0.750
0.500 0.000 0.250
0.500 0.500 0.000
0.234 0.250 0.625
0.250 0.734 0.875
0.250 0.766 0.375
0.266 0.250 0.125
0.734 0.750 0.125
0.750 0.234 0.375
0.750 0.266 0.875
0.766 0.750 0.625
```

Computed properties:
* relative energy among the computed polymorphs: 0.0000 eV per atom
* SG: I-42d (122)

***

3.
The following is a DFT calculation (PBE) of a geometry-optimized CrP2OsI structure.

```
CrP2OsI
1.0
4.258 0.000 0.000
0.000 4.258 0.000
0.000 0.000 5.320
Cr P Os I
1 2 1 1
direct
0.000 0.000 0.000
0.000 0.500 0.000
0.500 0.000 0.000
0.500 0.500 0.500
0.000 0.000 0.500
```

Computed properties:
* SG: P4/mmm (123)

***

4.
The following is a DFT calculation (PBE) of a geometry-optimized CrSbOsI2 structure.

```
CrSbOsI2
1.0
5.609 0.000 0.000
0.000 5.609 0.000
0.000 0.000 4.988
Cr Sb Os I
1 1 1 2
direct
0.000 0.000 0.000
0.500 0.500 0.000
0.500 0.500 0.500
0.000 0.500 0.500
0.500 0.000 0.500
```

Computed properties:
* relative energy among the computed polymorphs: 0.0000 eV per atom
* SG: P4/mmm (123)

***

5.
The following is a DFT calculation (PBE) of a geometry-optimized Sr2CrOsI structure.

```
Sr2CrOsI
1.0
6.066 0.000 0.000
0.000 6.066 0.000
0.000 0.000 4.968
Sr Cr Os I
2 1 1 1
direct
0.000 0.500 0.000
0.500 0.000 0.000
0.000 0.000 0.500
0.500 0.500 0.500
0.000 0.000 0.000
```

Computed properties:
* SG: P4/mmm (123)

***

6.
The following is a DFT calculation (PBE) of a geometry-optimized CrTcOs2I structure.

```
CrTcOs2I
1.0
4.547 0.000 0.000
0.000 4.547 0.000
0.000 0.000 4.515
Cr Tc Os I
1 1 2 1
direct
0.000 0.000 0.000
0.000 0.000 0.500
0.000 0.500 0.000
0.500 0.000 0.000
0.500 0.500 0.500
```

Computed properties:
* SG: P4/mmm (123)

***

7.
The following is a DFT calculation (PBE) of a geometry-optimized Ti2CrOsI structure.

```
Ti2CrOsI
1.0
4.403 0.000 0.000
0.000 4.403 0.000
0.000 0.000 4.757
Ti Cr Os I
2 1 1 1
direct
0.000 0.500 0.000
0.500 0.000 0.000
0.000 0.000 0.000
0.500 0.500 0.500
0.000 0.000 0.500
```

Computed properties:
* SG: P4/mmm (123)

***

8.
The following is a DFT calculation (PBE) of a geometry-optimized CrPI3 structure.

```
CrPI3
1.0
5.527 0.000 0.000
0.000 5.527 0.000
0.000 0.000 5.527
Cr P I
1 1 3
direct
0.000 0.000 0.000
0.500 0.500 0.500
0.000 0.500 0.500
0.500 0.000 0.500
0.500 0.500 0.000
```

Computed properties:
* relative energy among the computed polymorphs: 0.0000 eV per atom
* SG: Pm-3m (221)

***

9.
The following is a DFT calculation (PBE) of a geometry-optimized Cr3PI structure.

```
Cr3PI
1.0
5.184 0.000 0.000
0.000 5.184 0.000
0.000 0.000 5.184
Cr P I
3 1 1
direct
0.000 0.000 0.500
0.000 0.500 0.000
0.500 0.000 0.000
0.500 0.500 0.500
0.000 0.000 0.000
```

Computed properties:
* relative energy among the computed polymorphs: 1.0764 eV per atom
* SG: Pm-3m (221)

***

10.
The following is a DFT calculation (PBE) of a geometry-optimized CrPI3 structure.

```
CrPI3
1.0
5.232 0.000 0.000
0.000 5.232 0.000
0.000 0.000 5.232
Cr P I
1 1 3
direct
0.000 0.000 0.000
0.500 0.500 0.500
0.000 0.000 0.500
0.000 0.500 0.000
0.500 0.000 0.000
```

Computed properties:
* relative energy among the computed polymorphs: 0.3494 eV per atom
* SG: Pm-3m (221)

***

11.
The following is a DFT calculation (PBE) of a geometry-optimized CrPI2 structure.

```
CrPI2
1.0
7.722 0.000 0.000
0.000 7.722 0.000
0.000 0.000 7.493
Cr P I
4 4 8
direct
0.000 0.000 0.000
0.000 0.500 0.250
0.500 0.000 0.750
0.500 0.500 0.500
0.000 0.000 0.500
0.000 0.500 0.750
0.500 0.000 0.250
0.500 0.500 0.000
0.233 0.750 0.125
0.250 0.233 0.875
0.250 0.267 0.375
0.267 0.750 0.625
0.733 0.250 0.625
0.750 0.733 0.375
0.750 0.767 0.875
0.767 0.250 0.125
```

Computed properties:
* relative energy among the computed polymorphs: 0.0000 eV per atom
* SG: I-42d (122)

***

12.
The following is a DFT calculation (PBE) of a geometry-optimized Cr2PI structure.

```
Cr2PI
1.0
6.365 0.000 0.000
0.000 6.365 0.000
0.000 0.000 10.274
Cr P I
8 4 4
direct
0.184 0.250 0.125
0.250 0.684 0.375
0.250 0.816 0.875
0.316 0.250 0.625
0.684 0.750 0.625
0.750 0.184 0.875
0.750 0.316 0.375
0.816 0.750 0.125
0.000 0.000 0.000
0.000 0.500 0.250
0.500 0.000 0.750
0.500 0.500 0.500
0.000 0.000 0.500
0.000 0.500 0.750
0.500 0.000 0.250
0.500 0.500 0.000
```

Computed properties:
* SG: I-42d (122)

***

Number 1: magnetization 2.06 μB per atom, raw formation energy 1198 meV per atom. Number 2: magnetization 0.81 μB per atom, raw formation energy 1110 meV per atom. Number 3: magnetization 0.00 μB per atom, raw formation energy 1358 meV per atom. Number 4: magnetization 0.94 μB per atom, raw formation energy 1002 meV per atom. Number 5: magnetization 1.09 μB per atom, raw formation energy 1278 meV per atom. Number 6: magnetization 0.00 μB per atom, raw formation energy 1841 meV per atom. Number 7: magnetization 0.00 μB per atom, raw formation energy 1314 meV per atom. Number 8: magnetization 0.99 μB per atom, raw formation energy 563 meV per atom. Number 9: magnetization 2.80 μB per atom, raw formation energy 1633 meV per atom. Number 10: magnetization 0.00 μB per atom, raw formation energy 912 meV per atom. Number 11: magnetization 1.14 μB per atom, raw formation energy 694 meV per atom. Number 12: magnetization 2.00 μB per atom, raw formation energy 207 meV per atom.